[1]
AlH2F4: optimized geometry, PBE-GGA.

Spin magnetization = 1.00 Bohr magnetons per cell
Polymorph energy (0 for the lowest one) = 0.000 eV per atom
E_tot = -4.51 eV/atom

Cell lengths 4.875, 2.803, 5.076 Å; angles 90.00, 99.97, 90.00 degrees
Sites, in units of the cell vectors:
Al: 0.000 0.000 0.000
H: 0.419 0.500 0.432
H: 0.581 0.500 0.568
F: 0.179 0.500 0.865
F: 0.263 0.000 0.302
F: 0.737 0.000 0.698
F: 0.821 0.500 0.135

***

[2]
K2CdPPb: optimized geometry, PBE-GGA.

Spin magnetization = 0.00 Bohr magnetons per cell
E_tot = -2.40 eV/atom
DFT formation energy = 43 meV per atom

Cell lengths 6.234, 6.234, 5.467 Å; angles 90.00, 90.00, 90.00 degrees
Sites, in units of the cell vectors:
K: 0.000 0.500 0.000
K: 0.500 0.000 0.000
Cd: 0.000 0.000 0.500
P: 0.500 0.500 0.000
Pb: 0.500 0.500 0.500